First-principles (PBE-GGA) data for crystalline Pm2Dy5Co4 at its relaxed geometry, as listed in Alexandria via LeMat-Bulk.

Output
Energy relative to the elements   51 kJ/mol of formula units
M_tot   0.000 μB/atom

Cell: 6.5435 6.8646 7.7470 Å, 75.14 65.02 61.54°
With the nearest neighbours (Å) after each atom.
Atoms (fractional coordinates):
Co: 0.6732 0.9411 0.7125  1 Co 2.22
Co: 0.3268 0.0589 0.2875  1 Co 2.22
Co: 0.2184 0.4058 0.1575  1 Co 2.22
Co: 0.7816 0.5942 0.8425  1 Co 2.22
Dy: 0.1860 0.2510 0.8938  3 Co 2.65-2.82
Dy: 0.8140 0.7490 0.1062  3 Co 2.65-2.82
Dy: 0.6691 0.2510 0.8938  3 Co 2.65-2.82
Dy: 0.0000 0.5000 0.5000  2 Co 2.51
Dy: 0.3309 0.7490 0.1062  3 Co 2.65-2.82
Pm: 0.2807 0.8168 0.6217  1 Co 2.68
Pm: 0.7193 0.1832 0.3783  1 Co 2.68

First-principles (PBE-GGA) data for crystalline PmDy2Co at its relaxed geometry, as listed in Alexandria via LeMat-Bulk.

Output
Energy relative to the elements   52 kJ/mol of formula units
M_tot   0.000 μB/atom
Relative energy among the computed polymorphs   272 meV per atom

Cell: 3.6302 3.6302 10.5506 Å, 80.09 80.09 60.00°
With the nearest neighbours (Å) after each atom.
Atoms (fractional coordinates):
Co: 0.5000 0.5000 0.5000  6 Dy 2.63
Dy: 0.8846 0.8846 0.3463  3 Co 2.63
Dy: 0.1154 0.1154 0.6537  3 Co 2.63
Pm: 0.0000 0.0000 0.0000  2 Dy 3.58, 6 Pm 3.63